# 1
The following is a DFT calculation (GGA-PBE) of crystalline Na2ScB2 at its relaxed geometry.

crystal system: tetragonal
SG: I4/mmm (139)
formation enthalpy at 0 K: 0.3767 eV/atom

Cell lengths 3.6465, 3.6465, 6.3872 Å; angles 73.41, 73.41, 90.00 degrees
Positions (direct):
Sc 0.0000 0.0000 0.0000
Na 0.7500 0.2500 0.5000
B 0.5676 0.5676 0.8649
Na 0.2500 0.7500 0.5000
B 0.4324 0.4324 0.1351

***

# 2
The following is a DFT calculation (GGA-PBE) of crystalline PrThNi2 at its relaxed geometry.

crystal system: trigonal
SG: R3m (160)
formation enthalpy at 0 K: -0.2044 eV/atom

Cell lengths 3.9561, 3.9561, 7.3418 Å; angles 74.37, 74.37, 60.00 degrees
Positions (direct):
Ni 0.0794 0.0794 0.7619
Pr 0.4968 0.4968 0.5096
Th 0.6691 0.6691 0.9928
Ni 0.2548 0.2548 0.2357

***

# 3
The following is a DFT calculation (GGA-PBE) of crystalline La6SiSe3Cl2 at its relaxed geometry.

crystal system: monoclinic
ΔE_f (raw): -1.6953 eV/atom
SG: C2/m (12)

Cell lengths 7.4195, 7.4195, 7.4499 Å; angles 99.54, 99.54, 120.02 degrees
Positions (direct):
La 0.0834 0.4055 0.2488
Cl 0.6670 0.3330 0.0000
La 0.9166 0.5945 0.7512
La 0.4055 0.0834 0.2488
La 0.2400 0.2400 0.7502
Se 0.5000 0.5000 0.5000
Se 0.1685 0.8315 0.5000
La 0.7600 0.7600 0.2498
Si 0.0000 0.0000 0.0000
Se 0.8315 0.1685 0.5000
La 0.5945 0.9166 0.7512
Cl 0.3330 0.6670 0.0000

***

# 4
The following is a DFT calculation (GGA-PBE) of crystalline PrPuP2Pd2 at its relaxed geometry.

crystal system: trigonal
SG: P-3m1 (164)
formation enthalpy at 0 K: -1.0654 eV/atom

Cell lengths 4.2196, 4.2196, 7.8082 Å; angles 90.00, 90.00, 120.00 degrees
Positions (direct):
Pr 0.0000 0.0000 0.5000
Pu 0.0000 0.0000 0.0000
P 0.3333 0.6667 0.2402
Pd 0.3333 0.6667 0.7551
P 0.6667 0.3333 0.7598
Pd 0.6667 0.3333 0.2449

***

# 5
The following is a DFT calculation (GGA-PBE) of crystalline KY2Sc at its relaxed geometry.

crystal system: orthorhombic
SG: Imm2 (44)
formation enthalpy at 0 K: 0.4901 eV/atom

Cell lengths 7.0514, 7.0514, 7.0514 Å; angles 150.00, 128.65, 60.62 degrees
Positions (direct):
Y 0.2380 0.7380 0.5000
Y 0.9860 0.9860 0.0000
Sc 0.7641 0.2641 0.5000
K 0.5119 0.5119 0.0000

***

# 6
The following is a DFT calculation (GGA-PBE) of crystalline SrAg3B at its relaxed geometry.

crystal system: cubic
SG: Pm-3m (221)
formation enthalpy at 0 K: 1.8445 eV/atom

Cell lengths 5.8642, 5.8642, 5.8642 Å; angles 90.00, 90.00, 90.00 degrees
Positions (direct):
Ag 0.5000 0.0000 0.0000
Ag 0.0000 0.0000 0.5000
Ag 0.0000 0.5000 0.0000
Sr 0.0000 0.0000 0.0000
B 0.5000 0.5000 0.5000

***

# 7
The following is a DFT calculation (GGA-PBE) of crystalline DyGa4CoRu2 at its relaxed geometry.

crystal system: trigonal
SG: R-3m (166)
formation enthalpy at 0 K: -0.3991 eV/atom

Cell lengths 4.2131, 4.2131, 8.6824 Å; angles 75.96, 75.96, 60.00 degrees
Positions (direct):
Co 0.5000 0.5000 0.5000
Ga 0.5985 0.5985 0.2044
Ga 0.1330 0.1330 0.6009
Dy 0.0000 0.0000 0.0000
Ru 0.2370 0.2370 0.2890
Ga 0.4015 0.4015 0.7956
Ga 0.8670 0.8670 0.3991
Ru 0.7630 0.7630 0.7110

***

# 8
The following is a DFT calculation (GGA-PBE) of crystalline Pr2AgO at its relaxed geometry.

crystal system: trigonal
ΔE_f (raw): -1.2956 eV/atom
SG: R3m (160)

Cell lengths 3.7906, 3.7906, 7.6540 Å; angles 75.66, 75.66, 60.00 degrees
Positions (direct):
Pr 0.2693 0.2693 0.1922
Ag 0.4994 0.4994 0.5018
Pr 0.0616 0.0616 0.8151
O 0.6697 0.6697 0.9909

***

What did the second record say?
The following is a DFT calculation (GGA-PBE) of crystalline PrThNi2 at its relaxed geometry.

crystal system: trigonal
SG: R3m (160)
formation enthalpy at 0 K: -0.2044 eV/atom

Cell lengths 3.9561, 3.9561, 7.3418 Å; angles 74.37, 74.37, 60.00 degrees
Positions (direct):
Ni 0.0794 0.0794 0.7619
Pr 0.4968 0.4968 0.5096
Th 0.6691 0.6691 0.9928
Ni 0.2548 0.2548 0.2357